Entry 1:
A plane-wave DFT calculation with PBE-GGA was carried out for crystalline Cd12Ag3Bi5 at its relaxed geometry.

As for the formation energy: 0.161 eV/atom. Its density of states at the Fermi level is 84.3 states/eV per cell. The volume comes out at 30.6 Å³ per atom. The calculation puts the spin magnetization at 0.00 μB per atom. The value obtained for the density is 7.4 Mg/m³.

Geometry as CIF:
```
data_Cd12Ag3Bi5
_chemical_formula_sum 'Cd96 Ag24 Bi40'
_cell_length_a 16.987
_cell_length_b 16.987
_cell_length_c 16.987
_cell_angle_alpha 90.00
_cell_angle_beta 90.00
_cell_angle_gamma 90.00
_symmetry_space_group_name_H-M 'I a -3 d'
_symmetry_Int_Tables_number 230
_symmetry_space_group_name_Hall '-I 4bd 2c 3'
loop_
_atom_site_label
_atom_site_fract_x
_atom_site_fract_y
_atom_site_fract_z
Cd1 0.010 0.083 0.656
Ag1 0.000 0.250 0.125
Bi1 0.000 0.000 0.000
Bi2 0.000 0.250 0.375
```


Entry 2:
A plane-wave DFT calculation with PBE-GGA was carried out for crystalline Li3AgI4 at its relaxed geometry.

The energy above the lowest structure with this stoichiometry comes out at 0.000 eV per atom. As for the formation energy without anion corrections: -0.975 eV per atom. Its density of states at the Fermi level is 0.0 states/eV per cell. The volume comes out at 34.0 Å³ per atom. The calculation puts the spin magnetization at 0.00 μB per atom. The value obtained for the density is 3.9 Mg/m³.

Geometry as CIF:
```
data_Li3AgI4
_chemical_formula_sum 'Li6 Ag2 I8'
_cell_length_a 6.481
_cell_length_b 6.481
_cell_length_c 12.954
_cell_angle_alpha 90.00
_cell_angle_beta 90.00
_cell_angle_gamma 90.00
_symmetry_space_group_name_H-M 'I -4 2 m'
_symmetry_Int_Tables_number 121
_symmetry_space_group_name_Hall 'I -4 2'
loop_
_atom_site_label
_atom_site_fract_x
_atom_site_fract_y
_atom_site_fract_z
Li1 0.000 0.000 0.000
Li2 0.000 0.500 0.250
Ag1 0.000 0.000 0.500
I1 0.244 0.244 0.872
```


Entry 3:
A plane-wave DFT calculation with PBE-GGA was carried out for crystalline Be2AlHg at its relaxed geometry.

As for the formation energy: 0.472 eV/atom. Its density of states at the Fermi level is 2.3 states/eV per cell. The volume comes out at 14.3 Å³ per atom. The calculation puts the spin magnetization at 0.00 μB per atom. The value obtained for the density is 7.1 Mg/m³.

Geometry as CIF:
```
data_Be2AlHg
_chemical_formula_sum 'Be4 Al2 Hg2'
_cell_length_a 3.910
_cell_length_b 3.910
_cell_length_c 7.469
_cell_angle_alpha 90.00
_cell_angle_beta 90.00
_cell_angle_gamma 90.00
_symmetry_space_group_name_H-M 'I 4/m m m'
_symmetry_Int_Tables_number 139
_symmetry_space_group_name_Hall '-I 4 2'
loop_
_atom_site_label
_atom_site_fract_x
_atom_site_fract_y
_atom_site_fract_z
Be1 0.000 0.500 0.250
Al1 0.000 0.000 0.000
Hg1 0.000 0.000 0.500
```


Q: Which of these has the lowest density?
A: Li3AgI4


Q: What is the spin magnetization in the first record?
A: 0.00 μB per atom


Q: Look up the density of the third one.
A: 7.1 Mg/m³